(1)
CuAs after structural relaxation. Source: Alexandria, functional GGA-PBE.

It has space group Pmmn (No. 59, origin choice 2), with a = 3.777 Å, b = 9.306 Å, c = 6.027 Å, α = 90.00°, β = 90.00° and γ = 90.00°. Symmetry generates all atoms from Cu at (0.250, 0.019, 0.166), Cu at (0.250, 0.750, 0.260), As at (0.250, 0.250, 0.982) and As at (0.250, 0.587, 0.574).

As for the total moment: 0.00 μB/f.u. Its formation energy is 171 meV per atom.

=====

(2)
HfN2O2 after structural relaxation. Source: Alexandria, functional GGA-PBE.

It has space group P4/mmm (No. 123), with a = 4.006 Å, b = 4.006 Å, c = 4.420 Å, α = 90.00°, β = 90.00° and γ = 90.00°. Symmetry generates all atoms from Hf at (0.000, 0.000, 0.000), N at (0.000, 0.000, 0.500), N at (0.500, 0.500, 0.500) and O at (0.000, 0.500, 0.000).

As for the total moment: 0.00 μB/f.u. As for the raw formation energy: 0.56 eV/atom.